# LiHg2Pb | Alexandria | GGA-PBEsol | optimized geometry
data_LiHg2Pb
_chemical_formula_sum 'Li1 Hg2 Pb1'
_cell_length_a 4.445
_cell_length_b 4.445
_cell_length_c 5.536
_cell_angle_alpha 113.67
_cell_angle_beta 113.67
_cell_angle_gamma 90.00
_space_group_name_H-M_alt 'P 1'
_space_group_IT_number 1
_space_group_name_Hall 'P 1'
loop_
_atom_site_label
_atom_site_fract_x
_atom_site_fract_y
_atom_site_fract_z
_atom_site_occupancy
Pb1 0.000 0.000 0.000 1
Hg1 0.750 0.250 0.500 1
Hg2 0.250 0.750 0.500 1
Li1 0.500 0.500 0.000 1
# V	22.51	Å³/atom
# D(E_F)	1.227	states/eV/f.u.
# total energy	-1.96	eV/atom

# LiHg2Pb | Alexandria | GGA-PBEsol | optimized geometry
data_LiHg2Pb
_chemical_formula_sum 'Li1 Hg2 Pb1'
_cell_length_a 3.472
_cell_length_b 5.096
_cell_length_c 5.591
_cell_angle_alpha 100.51
_cell_angle_beta 90.00
_cell_angle_gamma 109.91
_space_group_name_H-M_alt 'P 1'
_space_group_IT_number 1
_space_group_name_Hall 'P 1'
loop_
_atom_site_label
_atom_site_fract_x
_atom_site_fract_y
_atom_site_fract_z
_atom_site_occupancy
Pb1 0.247 0.494 0.740 1
Hg1 0.005 0.009 0.028 1
Hg2 0.756 0.512 0.271 1
Li1 0.492 0.985 0.461 1
# V	22.81	Å³/atom
# D(E_F)	1.552	states/eV/f.u.
# total energy	-1.93	eV/atom

# LiHg2Pb | Alexandria | GGA-PBEsol | optimized geometry
data_LiHg2Pb
_chemical_formula_sum 'Li1 Hg2 Pb1'
_cell_length_a 3.362
_cell_length_b 3.362
_cell_length_c 9.616
_cell_angle_alpha 79.93
_cell_angle_beta 79.93
_cell_angle_gamma 60.00
_space_group_name_H-M_alt 'P 1'
_space_group_IT_number 1
_space_group_name_Hall 'P 1'
loop_
_atom_site_label
_atom_site_fract_x
_atom_site_fract_y
_atom_site_fract_z
_atom_site_occupancy
Pb1 0.000 0.000 0.000 1
Hg1 0.238 0.238 0.286 1
Hg2 0.762 0.762 0.714 1
Li1 0.500 0.500 0.500 1
# V	23.04	Å³/atom
# D(E_F)	1.515	states/eV/f.u.
# total energy	-1.94	eV/atom

# LiHg2Pb | Alexandria | GGA-PBEsol | optimized geometry
data_LiHg2Pb
_chemical_formula_sum 'Li1 Hg2 Pb1'
_cell_length_a 3.350
_cell_length_b 5.227
_cell_length_c 5.984
_cell_angle_alpha 115.90
_cell_angle_beta 106.26
_cell_angle_gamma 90.00
_space_group_name_H-M_alt 'P 1'
_space_group_IT_number 1
_space_group_name_Hall 'P 1'
loop_
_atom_site_label
_atom_site_fract_x
_atom_site_fract_y
_atom_site_fract_z
_atom_site_occupancy
Pb1 0.500 0.000 0.000 1
Hg1 0.716 0.716 0.432 1
Hg2 0.284 0.284 0.568 1
Li1 0.000 0.500 0.000 1
# V	22.40	Å³/atom
# D(E_F)	1.596	states/eV/f.u.
# total energy	-1.95	eV/atom

# LiHg2Pb | Alexandria | GGA-PBEsol | optimized geometry
data_LiHg2Pb
_chemical_formula_sum 'Li1 Hg2 Pb1'
_cell_length_a 4.475
_cell_length_b 4.475
_cell_length_c 5.528
_cell_angle_alpha 113.87
_cell_angle_beta 113.87
_cell_angle_gamma 90.00
_space_group_name_H-M_alt 'P 1'
_space_group_IT_number 1
_space_group_name_Hall 'P 1'
loop_
_atom_site_label
_atom_site_fract_x
_atom_site_fract_y
_atom_site_fract_z
_atom_site_occupancy
Pb1 0.250 0.750 0.500 1
Hg1 0.000 0.000 0.000 1
Hg2 0.750 0.250 0.500 1
Li1 0.500 0.500 0.000 1
# V	22.69	Å³/atom
# D(E_F)	1.606	states/eV/f.u.
# total energy	-1.94	eV/atom

# LiHg2Pd | Alexandria | GGA-PBEsol | optimized geometry
data_LiHg2Pd
_chemical_formula_sum 'Li1 Hg2 Pd1'
_cell_length_a 4.589
_cell_length_b 4.589
_cell_length_c 4.589
_cell_angle_alpha 60.00
_cell_angle_beta 60.00
_cell_angle_gamma 60.00
_space_group_name_H-M_alt 'P 1'
_space_group_IT_number 1
_space_group_name_Hall 'P 1'
loop_
_atom_site_label
_atom_site_fract_x
_atom_site_fract_y
_atom_site_fract_z
_atom_site_occupancy
Hg1 0.250 0.250 0.250 1
Hg2 0.750 0.750 0.750 1
Pd1 0.000 0.000 0.000 1
Li1 0.500 0.500 0.500 1
# V	17.09	Å³/atom
# D(E_F)	1.185	states/eV/f.u.
# total energy	-2.64	eV/atom